Material: LaDy2Er5
Method: DFT, PBE
State: optimized geometry

abc: 7.077 7.077 7.077
angles: 119.82 119.82 90.32
Sites, in units of the cell vectors:
La: 0.000 0.000 0.000
Dy: 0.000 0.500 0.500
Dy: 0.500 0.000 0.500
Er: 0.000 0.000 0.500
Er: 0.000 0.500 0.000
Er: 0.500 0.000 0.000
Er: 0.500 0.500 0.000
Er: 0.500 0.500 0.500

Results
Electronic total energy, eV/cell: -36.759
V, Å³/atom: 31.41
Density of states at the Fermi level, states/eV per atom: 1.364

Material: La6Dy2Er5
Method: DFT, PBE
State: optimized geometry

abc: 11.767 20.818 3.639
angles: 90.00 90.00 90.00
Sites, in units of the cell vectors:
La: 0.059 0.080 0.000
La: 0.083 0.367 0.000
La: 0.172 0.634 0.500
La: 0.328 0.134 0.500
La: 0.417 0.867 0.000
La: 0.441 0.580 0.000
La: 0.559 0.420 0.000
La: 0.583 0.133 0.000
La: 0.672 0.866 0.500
La: 0.828 0.366 0.500
La: 0.917 0.633 0.000
La: 0.941 0.920 0.000
Dy: 0.163 0.790 0.000
Dy: 0.337 0.290 0.000
Dy: 0.663 0.710 0.000
Dy: 0.837 0.210 0.000
Er: 0.000 0.500 0.500
Er: 0.096 0.227 0.500
Er: 0.200 0.943 0.500
Er: 0.300 0.443 0.500
Er: 0.404 0.727 0.500
Er: 0.500 0.000 0.500
Er: 0.596 0.273 0.500
Er: 0.700 0.557 0.500
Er: 0.800 0.057 0.500
Er: 0.904 0.773 0.500

Results
Electronic total energy, eV/cell: -120.174
V, Å³/atom: 34.29
Density of states at the Fermi level, states/eV per atom: 1.391

Material: LaDy3Er5
Method: DFT, PBE
State: optimized geometry

abc: 10.026 10.026 11.159
angles: 111.94 111.94 34.85
Sites, in units of the cell vectors:
La: 0.141 0.859 0.750
La: 0.859 0.141 0.250
Dy: 0.000 0.000 0.000
Dy: 0.000 0.000 0.500
Dy: 0.050 0.595 0.637
Dy: 0.405 0.950 0.863
Dy: 0.595 0.050 0.137
Dy: 0.950 0.405 0.363
Er: 0.090 0.570 0.970
Er: 0.094 0.578 0.305
Er: 0.372 0.628 0.250
Er: 0.422 0.906 0.195
Er: 0.430 0.910 0.530
Er: 0.570 0.090 0.470
Er: 0.578 0.094 0.805
Er: 0.628 0.372 0.750
Er: 0.906 0.422 0.695
Er: 0.910 0.430 0.030

Results
Electronic total energy, eV/cell: -77.103
Relative energy among the computed polymorphs, eV/atom: 0.000
V, Å³/atom: 32.76
Density of states at the Fermi level, states/eV per atom: 1.544

Material: La6Dy5Er
Method: DFT, PBE
State: optimized geometry

abc: 9.656 9.656 6.209
angles: 92.39 92.39 45.08
Sites, in units of the cell vectors:
La: 0.084 0.583 0.334
La: 0.250 0.750 0.000
La: 0.417 0.916 0.666
La: 0.583 0.084 0.334
La: 0.750 0.250 0.000
La: 0.916 0.417 0.666
Dy: 0.000 0.000 0.500
Dy: 0.167 0.167 0.166
Dy: 0.333 0.333 0.833
Dy: 0.667 0.667 0.167
Dy: 0.833 0.833 0.834
Er: 0.500 0.500 0.500

Results
Electronic total energy, eV/cell: -56.851
V, Å³/atom: 34.12
Density of states at the Fermi level, states/eV per atom: 1.547